No. 1
Density functional theory data (PBE-GGA) for LaYBe after structural relaxation.

Cell and atoms, written as POSCAR:
```
LaYBe
1.0
4.839 0.000 0.000
-2.419 4.191 0.000
0.000 0.000 3.884
La Y Be
1 1 1
Direct
0.000 0.000 0.000 La
0.667 0.333 0.457 Y
0.333 0.667 0.630 Be
```

Values from the calculation:
Space-group type = P3m1 (156)
Formation enthalpy at 0 K = 29.9 kJ/mol of atoms
E above lowest polymorph = 0.193 eV per atom
Total magnetic moment = 0.0 μB/cell

No. 2
Density functional theory data (PBE-GGA) for CdCoOs2 after structural relaxation.

Cell and atoms, written as POSCAR:
```
CdCoOs2
1.0
-1.429 2.308 4.525
1.429 -2.308 4.525
1.429 2.308 -4.525
Cd Co Os
1 1 2
Direct
0.000 0.000 0.000 Cd
0.253 0.753 0.500 Co
0.486 0.486 0.000 Os
0.725 0.225 0.500 Os
```

Values from the calculation:
Space-group type = Imm2 (44)
Formation enthalpy at 0 K = 64.1 kJ/mol of atoms
Total magnetic moment = 1.7 μB/cell

No. 3
Density functional theory data (PBE-GGA) for Np2ZnGa5 after structural relaxation.

Cell and atoms, written as POSCAR:
```
Np2ZnGa5
1.0
-3.037 3.037 4.218
3.037 -3.037 4.218
3.037 3.037 -4.218
Np Zn Ga
2 1 5
Direct
0.000 0.500 0.500 Np
0.500 0.000 0.500 Np
0.000 0.000 0.000 Zn
0.000 0.000 0.500 Ga
0.000 0.500 0.000 Ga
0.500 0.000 0.000 Ga
0.500 0.500 0.000 Ga
0.500 0.500 0.500 Ga
```

Values from the calculation:
Space-group type = I4/mmm (139)
Formation enthalpy at 0 K = -11.6 kJ/mol of atoms
Total magnetic moment = 8.1 μB/cell

No. 4
Density functional theory data (PBE-GGA) for LaNb2Tc2 after structural relaxation.

Cell and atoms, written as POSCAR:
```
LaNb2Tc2
1.0
7.922 0.000 0.000
0.000 7.922 0.000
0.000 0.000 3.118
La Nb Tc
2 4 4
Direct
0.000 0.000 0.000 La
0.500 0.500 0.000 La
0.140 0.360 0.500 Nb
0.360 0.860 0.500 Nb
0.640 0.140 0.500 Nb
0.860 0.640 0.500 Nb
0.143 0.643 0.000 Tc
0.357 0.143 0.000 Tc
0.643 0.857 0.000 Tc
0.857 0.357 0.000 Tc
```

Values from the calculation:
Space-group type = P4/mbm (127)
Formation enthalpy at 0 K = 14.7 kJ/mol of atoms
E above lowest polymorph = 0.149 eV per atom
Total magnetic moment = 0.0 μB/cell

total magnetic moment of number 3 (Np2ZnGa5)?
8.1 μB/cell